Density functional theory data (PBE+U) for a relaxed BeCoF crystal.

Computed properties:
- SG: Cm
- Energy above the most stable polymorph in this dataset: 0.102 eV per atom
- Spin magnetization: 7.46 Bohr magnetons per cell
- Density of states at the Fermi level: 2.52 states/eV per cell

a b c (Å): 14.2636 2.7665 3.3433
angles (deg): 90.00 93.12 90.00
Atoms (fractional coordinates):
Be1 0.0000 0.0000 0.0000
Be2 0.2082 0.0000 0.2680
Be3 0.5000 0.5000 0.0000
Be4 0.7082 0.5000 0.2680
Co1 0.2791 0.5000 0.7779
Co2 0.3657 0.0000 0.2830
Co3 0.7791 0.0000 0.7779
Co4 0.8657 0.5000 0.2830
F1 0.0067 0.5000 0.7618
F2 0.0997 0.0000 0.2409
F3 0.5067 0.0000 0.7618
F4 0.5997 0.5000 0.2409

Density functional theory data (PBE+U) for a relaxed BeCoF crystal.

Computed properties:
- SG: Pc
- Energy above the most stable polymorph in this dataset: 0.007 eV per atom
- Spin magnetization: 3.09 Bohr magnetons per cell
- Density of states at the Fermi level: 1.52 states/eV per cell

a b c (Å): 2.4591 7.8316 4.6791
angles (deg): 90.00 121.71 90.00
Atoms (fractional coordinates):
Be1 0.0000 0.2413 0.0000
Be2 0.0000 0.7587 0.5000
Co1 0.4944 0.0173 0.4981
Co2 0.4944 0.9827 0.9981
F1 0.5005 0.3623 0.9997
F2 0.5005 0.6377 0.4997

Density functional theory data (PBE+U) for a relaxed BeCoF crystal.

Computed properties:
- SG: P1
- Energy above the most stable polymorph in this dataset: 0.029 eV per atom
- Spin magnetization: 3.07 Bohr magnetons per cell
- Density of states at the Fermi level: 1.29 states/eV per cell

a b c (Å): 2.4550 3.8319 8.1040
angles (deg): 89.98 89.85 90.00
Atoms (fractional coordinates):
Be1 0.0000 0.0000 0.0000
Be2 0.4980 0.5023 0.5306
Co1 0.4966 0.4949 0.8012
Co2 0.9963 0.9946 0.7294
F1 0.4990 0.9982 0.1168
F2 0.9991 0.4998 0.4138

Density functional theory data (PBE+U) for a relaxed BeCoF crystal.

Computed properties:
- SG: Cmcm
- Energy above the most stable polymorph in this dataset: 0.096 eV per atom
- Spin magnetization: 6.97 Bohr magnetons per cell
- Density of states at the Fermi level: 2.75 states/eV per cell

a b c (Å): 2.4026 15.0100 4.3746
angles (deg): 90.00 90.00 90.00
Atoms (fractional coordinates):
Be1 0.0000 0.1170 0.2500
Be2 0.0000 0.8830 0.7500
Be3 0.5000 0.3830 0.7500
Be4 0.5000 0.6170 0.2500
Co1 0.0000 0.4809 0.2500
Co2 0.0000 0.5191 0.7500
Co3 0.5000 0.0191 0.7500
Co4 0.5000 0.9809 0.2500
F1 0.0000 0.3182 0.7500
F2 0.0000 0.6818 0.2500
F3 0.5000 0.1818 0.2500
F4 0.5000 0.8182 0.7500

Density functional theory data (PBE+U) for a relaxed BeCo2F crystal.

Computed properties:
- SG: Fm-3m
- Energy above the most stable polymorph in this dataset: 0.277 eV per atom
- Spin magnetization: 12.92 Bohr magnetons per cell
- Density of states at the Fermi level: 5.71 states/eV per cell

a b c (Å): 5.5764 5.5764 5.5764
angles (deg): 90.00 90.00 90.00
Atoms (fractional coordinates):
Be1 0.0000 0.0000 0.0000
Be2 0.0000 0.5000 0.5000
Be3 0.5000 0.0000 0.5000
Be4 0.5000 0.5000 0.0000
Co1 0.2500 0.2500 0.2500
Co2 0.2500 0.2500 0.7500
Co3 0.2500 0.7500 0.2500
Co4 0.2500 0.7500 0.7500
Co5 0.7500 0.2500 0.2500
Co6 0.7500 0.2500 0.7500
Co7 0.7500 0.7500 0.2500
Co8 0.7500 0.7500 0.7500
F1 0.0000 0.0000 0.5000
F2 0.0000 0.5000 0.0000
F3 0.5000 0.0000 0.0000
F4 0.5000 0.5000 0.5000

Density functional theory data (PBE+U) for a relaxed BeCoF crystal.

Computed properties:
- SG: F-43m
- Energy above the most stable polymorph in this dataset: 1.387 eV per atom
- Spin magnetization: 8.22 Bohr magnetons per cell
- Density of states at the Fermi level: 1.58 states/eV per cell

a b c (Å): 5.4480 5.4480 5.4480
angles (deg): 90.00 90.00 90.00
Atoms (fractional coordinates):
Be1 0.0000 0.0000 0.0000
Be2 0.0000 0.5000 0.5000
Be3 0.5000 0.0000 0.5000
Be4 0.5000 0.5000 0.0000
Co1 0.2500 0.2500 0.2500
Co2 0.2500 0.7500 0.7500
Co3 0.7500 0.2500 0.7500
Co4 0.7500 0.7500 0.2500
F1 0.0000 0.0000 0.5000
F2 0.0000 0.5000 0.0000
F3 0.5000 0.0000 0.0000
F4 0.5000 0.5000 0.5000

Density functional theory data (PBE+U) for a relaxed BeCoF crystal.

Computed properties:
- SG: P1
- Energy above the most stable polymorph in this dataset: 0.004 eV per atom
- Spin magnetization: 3.11 Bohr magnetons per cell
- Density of states at the Fermi level: 1.69 states/eV per cell

a b c (Å): 2.5324 2.5327 10.8839
angles (deg): 94.77 91.74 119.99
Atoms (fractional coordinates):
Be1 0.0000 0.0000 0.0000
Be2 0.2220 0.3028 0.5391
Co1 0.4038 0.7641 0.1735
Co2 0.8151 0.5370 0.3629
F1 0.2972 0.6180 0.9141
F2 0.5905 0.0176 0.6240

Density functional theory data (PBE+U) for a relaxed BeCoF crystal.

Computed properties:
- SG: Pnma
- Energy above the most stable polymorph in this dataset: 0.398 eV per atom
- Spin magnetization: 7.38 Bohr magnetons per cell
- Density of states at the Fermi level: 1.80 states/eV per cell

a b c (Å): 9.6389 2.4981 5.8047
angles (deg): 90.00 90.00 90.00
Atoms (fractional coordinates):
Be1 0.0387 0.2500 0.1655
Be2 0.4613 0.7500 0.6655
Be3 0.5387 0.2500 0.3345
Be4 0.9613 0.7500 0.8345
Co1 0.1981 0.7500 0.9100
Co2 0.3019 0.2500 0.4100
Co3 0.6981 0.7500 0.5900
Co4 0.8019 0.2500 0.0900
F1 0.0740 0.7500 0.3388
F2 0.4260 0.2500 0.8388
F3 0.5740 0.7500 0.1612
F4 0.9260 0.2500 0.6612

Density functional theory data (PBE+U) for a relaxed BeCoF crystal.

Computed properties:
- SG: Cm
- Energy above the most stable polymorph in this dataset: 0.003 eV per atom
- Spin magnetization: 6.07 Bohr magnetons per cell
- Density of states at the Fermi level: 3.44 states/eV per cell

a b c (Å): 4.3944 2.5373 10.8500
angles (deg): 90.00 97.32 90.00
Atoms (fractional coordinates):
Be1 0.0000 0.0000 0.0000
Be2 0.0030 0.5000 0.5394
Be3 0.5000 0.5000 0.0000
Be4 0.5030 0.0000 0.5394
Co1 0.1152 0.0000 0.3645
Co2 0.2228 0.5000 0.1767
Co3 0.6152 0.5000 0.3645
Co4 0.7228 0.0000 0.1767
F1 0.3073 0.0000 0.9163
F2 0.3636 0.5000 0.6253
F3 0.8073 0.5000 0.9163
F4 0.8636 0.0000 0.6253

Density functional theory data (PBE+U) for a relaxed BeCoF crystal.

Computed properties:
- SG: Pmn2_1
- Energy above the most stable polymorph in this dataset: 0.002 eV per atom
- Spin magnetization: 3.42 Bohr magnetons per cell
- Density of states at the Fermi level: 1.48 states/eV per cell

a b c (Å): 2.6781 9.9982 2.4631
angles (deg): 90.00 90.00 90.00
Atoms (fractional coordinates):
Be1 0.0000 0.2416 0.0000
Be2 0.5000 0.7584 0.5000
Co1 0.0000 0.5908 0.0099
Co2 0.5000 0.4092 0.5099
F1 0.0000 0.1445 0.4994
F2 0.5000 0.8555 0.9994

Density functional theory data (PBE+U) for a relaxed BeCoF crystal.

Computed properties:
- SG: F-43m
- Energy above the most stable polymorph in this dataset: 1.474 eV per atom
- Spin magnetization: 8.17 Bohr magnetons per cell
- Density of states at the Fermi level: 17.19 states/eV per cell

a b c (Å): 5.2419 5.2419 5.2419
angles (deg): 90.00 90.00 90.00
Atoms (fractional coordinates):
Be1 0.0000 0.0000 0.0000
Be2 0.0000 0.5000 0.5000
Be3 0.5000 0.0000 0.5000
Be4 0.5000 0.5000 0.0000
Co1 0.0000 0.0000 0.5000
Co2 0.0000 0.5000 0.0000
Co3 0.5000 0.0000 0.0000
Co4 0.5000 0.5000 0.5000
F1 0.2500 0.2500 0.7500
F2 0.2500 0.7500 0.2500
F3 0.7500 0.2500 0.2500
F4 0.7500 0.7500 0.7500

Density functional theory data (PBE+U) for a relaxed BeFeCo2F crystal.

Computed properties:
- SG: P4/mmm
- Spin magnetization: 7.01 Bohr magnetons per cell
- Density of states at the Fermi level: 3.01 states/eV per cell
- Uncorrected energy: -4.0438 eV/atom

a b c (Å): 4.3843 4.3843 3.1428
angles (deg): 90.00 90.00 90.00
Atoms (fractional coordinates):
Be1 0.0000 0.0000 0.0000
Fe1 0.5000 0.5000 0.0000
Co1 0.0000 0.5000 0.5000
Co2 0.5000 0.0000 0.5000
F1 0.0000 0.0000 0.5000